1.
! PBE-GGA BeFeH, relaxed; values from VASP
! * DFT total energy: -5.198 eV/atom
&SYSTEM
  ibrav = 0, nat = 6, ntyp = 3
/
ATOMIC_SPECIES
Be 9.01 Be.upf
Fe 55.84 Fe.upf
H 1.01 H.upf
ATOMIC_POSITIONS crystal
Be 0.000 0.000 0.000
Be 0.142 0.142 0.522
Fe 0.404 0.404 0.518
Fe 0.730 0.730 0.009
H 0.357 0.357 0.001
H 0.573 0.573 0.268
CELL_PARAMETERS angstrom
4.269 -1.315 0.000
4.269 1.315 0.000
0.000 0.000 3.671

2.
! PBE-GGA Fe2Sb, relaxed; values from VASP
! * uncorrected formation energy: 0.316 eV per atom
&SYSTEM
  ibrav = 0, nat = 3, ntyp = 2
/
ATOMIC_SPECIES
Fe 55.84 Fe.upf
Sb 121.76 Sb.upf
ATOMIC_POSITIONS crystal
Fe 0.333 0.667 0.376
Fe 0.667 0.333 0.624
Sb 0.000 0.000 0.000
CELL_PARAMETERS angstrom
4.142 0.000 0.000
-2.071 3.587 0.000
0.000 0.000 3.082